Arrangement A

VASP calculation (GGA-PBE) on a geometry-optimized NaSmTe structure.

Spin magnetization (μB/atom): 0.009

Structure (POSCAR):
```
NaSmTe
1.0
2.558 -2.032 3.946
-0.494 2.015 4.684
-2.527 -2.570 3.640
Na Sm Te
1 1 1
direct
0.250 0.250 0.250
0.750 0.750 0.750
0.000 0.000 0.000
```


Arrangement B

VASP calculation (GGA-PBE) on a geometry-optimized NaSmTe structure.

Spin magnetization (μB/atom): 0.002

Structure (POSCAR):
```
NaSmTe
1.0
-2.869 -4.248 -0.961
-0.518 -3.679 3.660
-4.579 -0.654 2.410
Na Sm Te
1 1 1
direct
0.250 0.250 0.250
0.000 0.000 0.000
0.750 0.750 0.750
```


Which is most stable? The ranking, best first, is arrangement A, arrangement B.


Arrangement A

VASP calculation (GGA-PBE) on a geometry-optimized NaSmTl structure.

Spin magnetization (μB/atom): 0.024

Structure (POSCAR):
```
NaSmTl
1.0
1.982 -3.970 2.745
1.817 0.813 4.823
-2.597 -1.878 4.117
Na Sm Tl
1 1 1
direct
0.250 0.250 0.250
0.000 0.000 0.000
0.750 0.750 0.750
```


Arrangement B

VASP calculation (GGA-PBE) on a geometry-optimized NaSmTl structure.

Spin magnetization (μB/atom): 0.119

Structure (POSCAR):
```
NaSmTl
1.0
0.000 3.670 3.670
3.670 0.000 3.670
3.670 3.670 0.000
Na Sm Tl
1 1 1
direct
0.250 0.250 0.250
0.750 0.750 0.750
0.000 0.000 0.000
```


Which is most stable? The ranking, best first, is arrangement B, arrangement A.


Arrangement A

VASP calculation (GGA-PBE) on a geometry-optimized NaTcSnTe structure.

Spin magnetization (μB/atom): 0.494

Structure (POSCAR):
```
NaTcSnTe
1.0
0.000 3.566 3.566
3.566 0.000 3.566
3.566 3.566 0.000
Na Sn Tc Te
1 1 1 1
direct
0.750 0.750 0.750
0.250 0.250 0.250
0.000 0.000 0.000
0.500 0.500 0.500
```


Arrangement B

VASP calculation (GGA-PBE) on a geometry-optimized NaTcSnTe structure.

Spin magnetization (μB/atom): 0.001

Structure (POSCAR):
```
NaTcSnTe
1.0
1.737 -1.527 4.251
-1.975 1.576 4.128
-2.613 -3.016 2.739
Na Sn Tc Te
1 1 1 1
direct
0.750 0.750 0.750
0.000 0.000 0.000
0.250 0.250 0.250
0.500 0.500 0.500
```


Which is most stable? The ranking, best first, is arrangement B, arrangement A.


Arrangement A

VASP calculation (GGA-PBE) on a geometry-optimized NaTcSnW structure.

Spin magnetization (μB/atom): 0.000

Structure (POSCAR):
```
NaTcSnW
1.0
0.000 3.233 3.233
3.233 0.000 3.233
3.233 3.233 0.000
Na Sn Tc W
1 1 1 1
direct
0.750 0.750 0.750
0.500 0.500 0.500
0.250 0.250 0.250
0.000 0.000 0.000
```


Arrangement B

VASP calculation (GGA-PBE) on a geometry-optimized NaTcSnW structure.

Spin magnetization (μB/atom): 0.001

Structure (POSCAR):
```
NaTcSnW
1.0
0.000 3.254 3.254
3.254 0.000 3.254
3.254 3.254 0.000
Na Sn Tc W
1 1 1 1
direct
0.750 0.750 0.750
0.000 0.000 0.000
0.500 0.500 0.500
0.250 0.250 0.250
```


Which is most stable? The ranking, best first, is arrangement A, arrangement B.


Arrangement A

VASP calculation (GGA-PBE) on a geometry-optimized NaUSn structure.

Spin magnetization (μB/atom): 0.986

Structure (POSCAR):
```
NaUSn
1.0
0.580 3.124 3.767
-2.703 -0.538 4.085
2.121 -1.539 4.173
Na Sn U
1 1 1
direct
0.000 0.000 0.000
0.250 0.250 0.250
0.750 0.750 0.750
```


Arrangement B

VASP calculation (GGA-PBE) on a geometry-optimized NaUSn structure.

Spin magnetization (μB/atom): 0.991

Structure (POSCAR):
```
NaUSn
1.0
0.064 -4.885 -1.727
-3.973 -3.163 1.029
-3.211 -1.447 -3.800
Na Sn U
1 1 1
direct
0.000 0.000 0.000
0.500 0.500 0.500
0.250 0.250 0.250
```


Which is most stable? The ranking, best first, is arrangement A, arrangement B.


Arrangement A

VASP calculation (GGA-PBE) on a geometry-optimized NaSrTa structure.

Spin magnetization (μB/atom): 1.595

Structure (POSCAR):
```
NaSrTa
1.0
0.000 3.884 3.884
3.884 0.000 3.884
3.884 3.884 0.000
Na Sr Ta
1 1 1
direct
0.250 0.250 0.250
0.750 0.750 0.750
0.000 0.000 0.000
```


Arrangement B

VASP calculation (GGA-PBE) on a geometry-optimized NaSrTa structure.

Spin magnetization (μB/atom): 1.504

Structure (POSCAR):
```
NaSrTa
1.0
0.000 3.877 3.877
3.877 0.000 3.877
3.877 3.877 0.000
Na Sr Ta
1 1 1
direct
0.250 0.250 0.250
0.000 0.000 0.000
0.750 0.750 0.750
```


Which is most stable? The ranking, best first, is arrangement A, arrangement B.


Arrangement A

VASP calculation (GGA-PBE) on a geometry-optimized NaSrTmTe3 structure.

Spin magnetization (μB/atom): 0.000

Structure (POSCAR):
```
NaSrTmTe3
1.0
9.541 -2.209 0.000
9.541 2.209 0.000
-2.425 0.000 9.384
Na Sr Te Tm
2 2 6 2
direct
0.507 0.507 0.205
0.493 0.493 0.795
0.864 0.864 0.432
0.136 0.136 0.568
0.000 0.000 0.000
0.330 0.330 0.137
0.681 0.681 0.314
0.500 0.500 0.500
0.319 0.319 0.686
0.670 0.670 0.863
0.166 0.166 0.086
0.834 0.834 0.914
```


Arrangement B

VASP calculation (GGA-PBE) on a geometry-optimized NaSrTmTe3 structure.

Spin magnetization (μB/atom): 0.000

Structure (POSCAR):
```
NaSrTmTe3
1.0
8.422 0.000 0.000
0.000 4.482 0.000
-3.254 0.000 10.367
Na Sr Te Tm
2 2 6 2
direct
0.091 0.250 0.088
0.909 0.750 0.912
0.730 0.750 0.204
0.270 0.250 0.796
0.299 0.750 0.045
0.060 0.250 0.349
0.565 0.250 0.363
0.435 0.750 0.637
0.940 0.750 0.651
0.701 0.250 0.955
0.307 0.750 0.346
0.693 0.250 0.654
```


Which is most stable? The ranking, best first, is arrangement A, arrangement B.


Arrangement A

VASP calculation (GGA-PBE) on a geometry-optimized NaTa structure.

Spin magnetization (μB/atom): 0.001

Structure (POSCAR):
```
NaTa
1.0
-0.857 2.101 -1.733
1.079 -2.405 -1.097
-5.418 -2.352 -0.173
Na Ta
1 1
direct
0.667 0.333 0.750
0.333 0.667 0.250
```


Arrangement B

VASP calculation (GGA-PBE) on a geometry-optimized NaTa structure.

Spin magnetization (μB/atom): 0.104

Structure (POSCAR):
```
NaTa
1.0
-1.006 -3.530 1.378
-2.668 -0.301 2.857
-3.550 -1.470 -0.780
Na Ta
1 1
direct
0.000 0.000 0.000
0.500 0.500 0.500
```


Arrangement C

VASP calculation (GGA-PBE) on a geometry-optimized NaTa structure.

Spin magnetization (μB/atom): 2.000

Structure (POSCAR):
```
NaTa
1.0
1.689 -1.233 4.386
1.755 3.416 2.976
-2.471 1.247 3.993
Na Ta
1 1
direct
0.000 0.000 0.000
0.250 0.250 0.250
```


Which is most stable? The ranking, best first, is arrangement A, arrangement B, arrangement C.